Entry 1:
First-principles (GGA-PBE) data for an optimized crystal structure of CaAl2In, as listed in Alexandria.

Energy relative to the elements = -45 meV/atom
Crystal system = orthorhombic

The structure in POSCAR format:
```
CaAl2In
1.0
5.4440 -0.0051 0.0000
-1.9015 5.1011 0.0000
0.0000 0.0000 3.3498
Al Ca In
2 1 1
direct
0.5000 0.5000 0.0000 Al
0.0000 0.0000 0.0000 Al
0.5000 0.0000 0.5000 Ca
0.0000 0.5000 0.5000 In
```

Entry 2:
First-principles (GGA-PBE) data for an optimized crystal structure of BaYZn2, as listed in Alexandria.

Energy relative to the elements = 161 meV/atom
Crystal system = tetragonal
E above lowest polymorph = 389 meV/atom

The structure in POSCAR format:
```
BaYZn2
1.0
8.2984 0.0000 0.0000
0.0000 8.2984 0.0000
4.1492 4.1492 3.8305
Y Ba Zn
2 2 4
direct
0.5000 0.5000 0.0000 Y
0.2500 0.7500 0.5000 Y
0.7500 0.2500 0.5000 Ba
0.0000 0.0000 0.0000 Ba
0.1650 0.6250 0.2500 Zn
0.5850 0.1250 0.2500 Zn
0.3750 0.4150 0.7500 Zn
0.8750 0.8350 0.7500 Zn
```

Entry 3:
First-principles (GGA-PBE) data for an optimized crystal structure of ThAlZn6Au, as listed in Alexandria.

Energy relative to the elements = 141 meV/atom
Crystal system = orthorhombic

The structure in POSCAR format:
```
ThAlZn6Au
1.0
5.4754 0.0000 0.0000
0.0000 10.0588 0.0000
-2.7377 -5.0294 6.7814
Zn Th Au Al
12 2 2 2
direct
0.5655 0.3155 0.1310 Zn
0.0520 0.8020 0.1040 Zn
0.6043 0.8702 0.6909 Zn
0.9134 0.1298 0.3091 Zn
0.6043 0.3207 0.6909 Zn
0.0866 0.3207 0.6909 Zn
0.0866 0.8702 0.6909 Zn
0.9480 0.1980 0.8960 Zn
0.4345 0.6845 0.8690 Zn
0.3957 0.6793 0.3091 Zn
0.3957 0.1298 0.3091 Zn
0.9134 0.6793 0.3091 Zn
0.8089 0.5589 0.6179 Th
0.1911 0.4411 0.3821 Th
0.5000 0.5000 0.0000 Au
0.5000 0.0000 0.0000 Au
0.5000 0.0000 0.5000 Al
0.0000 0.0000 0.5000 Al
```

Entry 4:
First-principles (GGA-PBE) data for an optimized crystal structure of Ho3CuOs, as listed in Alexandria.

Energy relative to the elements = -119 meV/atom
Crystal system = monoclinic

The structure in POSCAR format:
```
Ho3CuOs
1.0
-2.1618 -1.0301 2.6989
-0.5393 -7.1759 -3.1724
6.3435 -6.2598 2.6906
Ho Cu Os
6 2 2
direct
0.8634 0.7846 0.4264 Ho
0.8631 0.3665 0.7580 Ho
0.8633 0.5989 0.0152 Ho
0.3630 0.1681 0.1092 Ho
0.3631 0.3974 0.4056 Ho
0.8632 0.9773 0.6583 Ho
0.3635 0.7802 0.1689 Cu
0.3633 0.9996 0.8824 Cu
0.3632 0.6596 0.7317 Os
0.8631 0.2092 0.3087 Os
```

Entry 5:
First-principles (GGA-PBE) data for an optimized crystal structure of Np2CoS5, as listed in Alexandria.

Formation energy without anion corrections = -872 meV/atom
Crystal system = orthorhombic

The structure in POSCAR format:
```
Np2CoS5
1.0
-2.7316 -2.9981 -3.4203
3.7806 -3.4541 4.1233
-8.7511 -0.6037 7.5180
S Np Co
10 4 2
direct
0.6766 0.3532 0.5908 S
0.0547 0.1094 0.1278 S
0.7063 0.4125 0.2500 S
0.3234 0.6468 0.4092 S
0.3234 0.6468 0.0908 S
0.9453 0.8906 0.8722 S
0.0547 0.1094 0.3722 S
0.2937 0.5875 0.7500 S
0.6766 0.3532 0.9092 S
0.9453 0.8906 0.6278 S
0.1544 0.3087 0.9274 Np
0.8456 0.6913 0.0726 Np
0.1544 0.3087 0.5726 Np
0.8456 0.6913 0.4274 Np
0.1985 0.3971 0.2500 Co
0.8015 0.6029 0.7500 Co
```

Entry 6:
First-principles (GGA-PBE) data for an optimized crystal structure of Te3Os, as listed in Alexandria.

Formation energy without anion corrections = 233 meV/atom
Crystal system = orthorhombic

The structure in POSCAR format:
```
Te3Os
1.0
-5.1693 1.5791 3.8204
0.2405 -1.5529 6.4298
2.7512 3.3591 -4.9958
Os Te
1 3
direct
0.9582 0.0000 0.9582 Os
0.2688 0.6446 0.6241 Te
0.9795 0.3554 0.6241 Te
0.6269 0.5000 0.1269 Te
```

The records above give, respectively, magnetization values of 0.00; 0.00; 0.00; 0.00; 6.00; 0.00 μB/f.u..
The records above give, respectively, DFT total energy values of -12.4; -10.3; -20.8; -29.7; -60.6; -19.7 eV per formula unit.